Entry 1:
TlReCl4 | GGA-PBE | relaxed

Lattice parameters (Å, degrees): 6.105 6.105 6.105 60.00 60.00 60.00
Sites, in units of the cell vectors:
Tl: 0.000 0.000 0.000
Re: 0.750 0.750 0.750
Cl: 0.376 0.376 0.376
Cl: 0.376 0.376 0.872
Cl: 0.376 0.872 0.376
Cl: 0.872 0.376 0.376

Summary:
calculated volume: 26.8 Å³/atom
SG: F-43m, No. 216
uncorrected formation energy: 0.977 eV per atom
size of the total moment: 3.979 μB/cell
VASP energy: -2.7230 eV/atom
offset from the most stable computed form: 1744 meV/atom

=====

Entry 2:
Tl3ReCl | GGA-PBE | relaxed

Lattice parameters (Å, degrees): 5.360 5.360 5.360 90.00 90.00 90.00
Sites, in units of the cell vectors:
Tl: 0.000 0.000 0.500
Tl: 0.000 0.500 0.000
Tl: 0.500 0.000 0.000
Re: 0.000 0.000 0.000
Cl: 0.500 0.500 0.500

Summary:
calculated volume: 30.8 Å³/atom
SG: Pm-3m, No. 221
uncorrected formation energy: 0.374 eV per atom
size of the total moment: 0.001 μB/cell
VASP energy: -3.9043 eV/atom
offset from the most stable computed form: 0 meV/atom

=====

Entry 3:
TlReCl | GGA-PBE | relaxed

Lattice parameters (Å, degrees): 8.580 8.283 3.076 85.00 74.08 20.92
Sites, in units of the cell vectors:
Tl: 0.000 0.000 0.000
Re: 0.335 0.335 0.665
Cl: 0.722 0.722 0.278

Summary:
calculated volume: 21.8 Å³/atom
SG: Fmm2, No. 42
uncorrected formation energy: 0.665 eV per atom
size of the total moment: 0.000 μB/cell
VASP energy: -4.8884 eV/atom
offset from the most stable computed form: 35 meV/atom

=====

Entry 4:
TlReCl6 | GGA-PBE | relaxed

Lattice parameters (Å, degrees): 6.929 6.929 10.734 90.19 90.19 72.40
Sites, in units of the cell vectors:
Tl: 0.018 0.982 0.750
Tl: 0.982 0.018 0.250
Re: 0.000 0.500 0.000
Re: 0.500 0.000 0.500
Cl: 0.131 0.539 0.195
Cl: 0.157 0.193 0.499
Cl: 0.193 0.157 0.999
Cl: 0.264 0.586 0.905
Cl: 0.414 0.736 0.595
Cl: 0.461 0.869 0.305
Cl: 0.539 0.131 0.695
Cl: 0.586 0.264 0.405
Cl: 0.736 0.414 0.095
Cl: 0.807 0.843 0.001
Cl: 0.843 0.807 0.501
Cl: 0.869 0.461 0.805

Summary:
calculated volume: 30.7 Å³/atom
SG: C2/c, No. 15
uncorrected formation energy: -0.734 eV per atom
size of the total moment: 4.000 μB/cell
VASP energy: -3.9712 eV/atom
offset from the most stable computed form: 0 meV/atom

=====

Please write out number 2 again, unchanged.
Tl3ReCl | GGA-PBE | relaxed

Lattice parameters (Å, degrees): 5.360 5.360 5.360 90.00 90.00 90.00
Sites, in units of the cell vectors:
Tl: 0.000 0.000 0.500
Tl: 0.000 0.500 0.000
Tl: 0.500 0.000 0.000
Re: 0.000 0.000 0.000
Cl: 0.500 0.500 0.500

Summary:
calculated volume: 30.8 Å³/atom
SG: Pm-3m, No. 221
uncorrected formation energy: 0.374 eV per atom
size of the total moment: 0.001 μB/cell
VASP energy: -3.9043 eV/atom
offset from the most stable computed form: 0 meV/atom